Record 1
Crystalline NdYPuN3 at its relaxed geometry, computed with PBE-GGA.

Lattice parameters (Å, degrees): 3.652 7.194 8.431 98.39 90.00 90.00
Fractional positions:
Nd 0.750 0.834 0.857
Nd 0.250 0.166 0.143
Y 0.250 0.632 0.152
Y 0.750 0.368 0.848
Pu 0.250 0.057 0.580
Pu 0.750 0.943 0.420
N 0.250 0.776 0.424
N 0.750 0.897 0.154
N 0.750 0.397 0.126
N 0.750 0.224 0.576
N 0.250 0.603 0.874
N 0.250 0.103 0.846

Computed properties:
The formation energy (no corrections) is -978.7 meV per atom. The calculation puts the energy at -9.402 eV/atom. The calculated volume comes out at 18.3 Å³/atom. As for the density of states at the Fermi level: 4.1 states/eV/f.u. For the magnetic moment, the calculation gives 0.0 μB per cell.



Record 2
Crystalline Y2Ta2Cu at its relaxed geometry, computed with PBE-GGA.

Lattice parameters (Å, degrees): 3.761 3.761 9.032 77.98 77.98 90.00
Fractional positions:
Y 0.402 0.402 0.196
Y 0.598 0.598 0.804
Cu 0.000 0.000 0.000
Ta 0.750 0.250 0.500
Ta 0.250 0.750 0.500

Computed properties:
The calculation puts the energy at -7.691 eV/atom. The calculated volume comes out at 24.4 Å³/atom. As for the density of states at the Fermi level: 4.1 states/eV/f.u. The offset from the most stable computed form comes out at 0 kJ/mol of formula units. For the magnetic moment, the calculation gives 0.0 μB per cell. Its formation energy is 454.7 meV/atom.



Record 3
Crystalline TmPdO2 at its relaxed geometry, computed with PBE-GGA.

Lattice parameters (Å, degrees): 3.409 3.409 6.461 74.70 74.70 60.00
Fractional positions:
Tm 0.500 0.500 0.500
O 0.110 0.110 0.670
O 0.890 0.890 0.330
Pd 0.000 0.000 0.000

Computed properties:
The formation energy (no corrections) is -2219.2 meV per atom. The calculation puts the energy at -7.114 eV/atom. The calculated volume comes out at 15.5 Å³/atom. As for the density of states at the Fermi level: 2.2 states/eV/f.u. For the magnetic moment, the calculation gives 0.0 μB per cell.



Record 4
Crystalline TbDy5Y at its relaxed geometry, computed with PBE-GGA.

Lattice parameters (Å, degrees): 5.779 7.906 7.906 66.06 68.56 68.56
Fractional positions:
Tb 0.000 0.000 0.000
Dy 0.500 0.178 0.822
Dy 0.500 0.822 0.178
Dy 0.746 0.254 0.254
Dy 0.254 0.746 0.746
Dy 0.000 0.500 0.500
Y 0.500 0.500 0.500

Computed properties:
The calculation puts the energy at -3.750 eV/atom. The calculated volume comes out at 42.4 Å³/atom. As for the density of states at the Fermi level: 8.4 states/eV/f.u. The offset from the most stable computed form comes out at 632 kJ/mol of formula units. For the magnetic moment, the calculation gives 0.0 μB per cell. Its formation energy is 1121.8 meV/atom.



Record 5
Crystalline BaNa3Tl3 at its relaxed geometry, computed with PBE-GGA.

Lattice parameters (Å, degrees): 8.339 8.339 8.339 90.00 90.00 90.00
Fractional positions:
Na 0.000 0.250 0.500
Na 0.000 0.750 0.500
Na 0.500 0.000 0.750
Na 0.750 0.500 0.000
Na 0.500 0.000 0.250
Na 0.250 0.500 0.000
Tl 0.250 0.000 0.500
Tl 0.000 0.500 0.250
Tl 0.500 0.750 0.000
Tl 0.750 0.000 0.500
Tl 0.000 0.500 0.750
Tl 0.500 0.250 0.000
Ba 0.500 0.500 0.500
Ba 0.000 0.000 0.000

Computed properties:
The calculation puts the energy at -1.689 eV/atom. The calculated volume comes out at 41.4 Å³/atom. As for the density of states at the Fermi level: 6.5 states/eV/f.u. The offset from the most stable computed form comes out at 232 kJ/mol of formula units. For the magnetic moment, the calculation gives 0.0 μB per cell. Its formation energy is 165.5 meV/atom.



Record 6
Crystalline Ho4Hg3Pb at its relaxed geometry, computed with PBE-GGA.

Lattice parameters (Å, degrees): 5.292 7.437 10.583 90.00 90.00 90.00
Fractional positions:
Pb 0.000 0.500 0.000
Pb 0.000 0.500 0.500
Ho 0.500 0.756 0.000
Ho 0.500 0.756 0.500
Ho 0.500 0.244 0.000
Ho 0.500 0.244 0.500
Ho 0.000 0.756 0.750
Ho 0.000 0.756 0.250
Ho 0.000 0.244 0.250
Ho 0.000 0.244 0.750
Hg 0.000 0.000 0.000
Hg 0.000 0.000 0.500
Hg 0.500 0.000 0.750
Hg 0.500 0.000 0.250
Hg 0.500 0.500 0.750
Hg 0.500 0.500 0.250

Computed properties:
The calculation puts the energy at -3.330 eV/atom. The calculated volume comes out at 26.0 Å³/atom. As for the density of states at the Fermi level: 8.2 states/eV/f.u. For the magnetic moment, the calculation gives 0.4 μB per cell. Its formation energy is -464.9 meV/atom.



Record 7
Crystalline SmThSb2 at its relaxed geometry, computed with PBE-GGA.

Lattice parameters (Å, degrees): 3.530 5.675 5.675 90.00 90.00 90.00
Fractional positions:
Sb 0.000 0.000 0.500
Sb 0.000 0.500 0.000
Sm 0.500 0.500 0.500
Th 0.500 0.000 0.000

Computed properties:
The formation energy (no corrections) is -827.2 meV per atom. The calculation puts the energy at -5.923 eV/atom. The calculated volume comes out at 28.4 Å³/atom. As for the density of states at the Fermi level: 3.5 states/eV/f.u. The offset from the most stable computed form comes out at 87 kJ/mol of formula units. For the magnetic moment, the calculation gives 0.0 μB per cell.



Record 8
Crystalline Ce4TmSc3S8 at its relaxed geometry, computed with PBE-GGA.

Lattice parameters (Å, degrees): 7.677 7.834 7.677 119.33 120.00 90.00
Site moments in Bohr magnetons follow the coordinates.
Fractional positions:
Ce 0.500 0.000 0.000  0.51
Ce 0.500 0.000 0.500  0.60
Ce 0.000 0.000 0.000  0.60
Ce 0.000 0.000 0.500  0.60
Tm 0.000 0.500 0.000  -0.01
Sc 0.500 0.500 0.000  -0.02
Sc 0.500 0.500 0.500  -0.02
Sc 0.000 0.500 0.500  -0.02
S 0.245 0.726 0.981  -0.01
S 0.245 0.726 0.489  -0.01
S 0.259 0.277 0.518  -0.01
S 0.737 0.726 0.981  -0.01
S 0.263 0.274 0.019  -0.01
S 0.741 0.723 0.482  -0.01
S 0.755 0.274 0.511  -0.01
S 0.755 0.274 0.019  -0.01

Computed properties:
The formation energy (no corrections) is -1957.2 meV per atom. The calculation puts the energy at -6.971 eV/atom. The calculated volume comes out at 20.6 Å³/atom. As for the density of states at the Fermi level: 21.4 states/eV/f.u. For the magnetic moment, the calculation gives 2.7 μB per cell.



Record 9
Crystalline Nd2Sm6Tl at its relaxed geometry, computed with PBE-GGA.

Lattice parameters (Å, degrees): 6.344 11.239 12.053 46.04 105.26 106.38
Fractional positions:
Nd 0.059 0.643 0.802
Nd 0.386 0.143 0.302
Nd 0.941 0.357 0.198
Nd 0.614 0.857 0.698
Sm 0.726 0.472 0.633
Sm 0.745 0.311 0.474
Sm 0.274 0.528 0.367
Sm 0.255 0.689 0.526
Sm 0.823 0.909 0.412
Sm 0.502 0.591 0.088
Sm 0.177 0.091 0.588
Sm 0.498 0.409 0.912
Sm 0.040 0.811 0.975
Sm 0.379 0.971 0.134
Sm 0.960 0.189 0.025
Sm 0.621 0.029 0.866
Tl 0.170 0.250 0.750
Tl 0.830 0.750 0.250

Computed properties:
The calculation puts the energy at -4.524 eV/atom. The calculated volume comes out at 32.8 Å³/atom. As for the density of states at the Fermi level: 13.2 states/eV/f.u. The offset from the most stable computed form comes out at 0 kJ/mol of formula units. For the magnetic moment, the calculation gives 0.0 μB per cell. Its formation energy is -55.3 meV/atom.



Record 10
Crystalline YPdSCl2 at its relaxed geometry, computed with PBE-GGA.

Lattice parameters (Å, degrees): 4.731 4.731 4.958 90.00 90.00 90.00
Fractional positions:
Y 0.500 0.500 0.500
S 0.000 0.000 0.500
Pd 0.000 0.000 0.000
Cl 0.000 0.500 0.000
Cl 0.500 0.000 0.000

Computed properties:
The formation energy (no corrections) is -674.8 meV per atom. The calculation puts the energy at -4.570 eV/atom. The calculated volume comes out at 22.2 Å³/atom. As for the density of states at the Fermi level: 1.9 states/eV/f.u. The offset from the most stable computed form comes out at 70 kJ/mol of formula units. For the magnetic moment, the calculation gives 0.0 μB per cell.



Record 11
Crystalline AcLaSm at its relaxed geometry, computed with PBE-GGA.

Lattice parameters (Å, degrees): 3.802 3.802 15.975 90.00 90.00 90.00
Fractional positions:
Ac 0.000 0.500 0.246
Ac 0.500 0.000 0.754
La 0.000 0.500 0.581
La 0.500 0.000 0.419
Sm 0.500 0.000 0.076
Sm 0.000 0.500 0.924

Computed properties:
The calculation puts the energy at -4.555 eV/atom. The calculated volume comes out at 38.5 Å³/atom. As for the density of states at the Fermi level: 5.4 states/eV/f.u. The offset from the most stable computed form comes out at 0 kJ/mol of formula units. For the magnetic moment, the calculation gives 0.0 μB per cell. Its formation energy is 30.2 meV/atom.



Record 12
Crystalline MgCo2Pb at its relaxed geometry, computed with PBE-GGA.

Lattice parameters (Å, degrees): 5.226 5.226 5.226 142.22 131.06 63.43
Site moments in Bohr magnetons follow the coordinates.
Fractional positions:
Co 0.022 0.022 0.000  1.36
Co 0.219 0.719 0.500  1.37
Mg 0.491 0.491 0.000  -0.01
Pb 0.768 0.268 0.500  -0.01

Computed properties:
The calculation puts the energy at -4.579 eV/atom. The calculated volume comes out at 16.3 Å³/atom. As for the density of states at the Fermi level: 4.4 states/eV/f.u. For the magnetic moment, the calculation gives 2.6 μB per cell. Its formation energy is 299.7 meV/atom.